1.
Entry from the Alexandria database: Sr6InRh after structural relaxation (PBE).

Total DFT energy (no corrections)   -21.44 eV per formula unit
Crystal system   orthorhombic

Cell and atoms, written as POSCAR:
```
Sr6InRh
1.0
4.346 0.000 0.000
0.000 5.992 6.688
0.000 -5.992 6.688
Sr In Rh
6 1 1
Cartesian
0.000 0.000 0.000 Sr
0.000 -1.930 9.628 Sr
0.000 1.930 9.628 Sr
2.173 0.000 3.526 Sr
2.173 -2.607 6.447 Sr
2.173 2.607 6.447 Sr
0.000 0.000 6.462 In
2.173 0.000 8.100 Rh
```

---

2.
Entry from the Alexandria database: CaCuTe2 after structural relaxation (PBE).

Crystal system   tetragonal
Formation energy from raw total energies   -0.384 eV per atom

Cell and atoms, written as POSCAR:
```
CaCuTe2
1.0
3.975 0.000 0.000
0.000 3.975 0.000
0.000 0.000 6.455
Ca Cu Te
1 1 2
Cartesian
0.000 0.000 0.000 Ca
0.000 0.000 3.227 Cu
1.988 1.988 1.669 Te
1.988 1.988 4.785 Te
```

---

3.
Entry from the Alexandria database: CaLa2Sm7 after structural relaxation (PBE).

Total DFT energy (no corrections)   -43.99 eV per formula unit
Crystal system   triclinic

Cell and atoms, written as POSCAR:
```
CaLa2Sm7
1.0
6.693 0.000 0.000
0.762 6.714 0.000
2.673 2.249 7.876
Ca La Sm
1 2 7
Cartesian
0.000 0.000 0.000 Ca
3.878 5.681 6.062 La
6.249 3.281 1.814 La
1.336 1.125 3.938 Sm
2.839 4.407 2.672 Sm
3.131 1.722 0.488 Sm
4.703 2.351 5.013 Sm
5.425 6.612 2.863 Sm
6.997 7.241 7.388 Sm
7.288 4.556 5.203 Sm
```

---

4.
Entry from the Alexandria database: NbCr2TcH after structural relaxation (PBE).

Crystal system   tetragonal
Energy above the lowest structure with this stoichiometry   15 meV/atom

Cell and atoms, written as POSCAR:
```
NbCr2TcH
1.0
3.777 0.000 0.000
0.000 3.777 0.000
0.000 0.000 4.154
Nb Cr Tc H
1 2 1 1
Cartesian
0.000 0.000 0.000 Nb
0.000 1.889 2.077 Cr
1.889 0.000 2.077 Cr
1.889 1.889 0.000 Tc
1.889 1.889 2.077 H
```

---

5.
Entry from the Alexandria database: AcBi2O5 after structural relaxation (PBE).

Crystal system   tetragonal
Formation energy from raw total energies   -1.689 eV per atom
Energy above the lowest structure with this stoichiometry   97 meV/atom

Cell and atoms, written as POSCAR:
```
AcBi2O5
1.0
-3.279 3.279 5.799
3.279 -3.279 5.799
3.279 3.279 -5.799
Ac Bi O
2 4 10
Cartesian
0.000 0.000 2.900 Ac
0.000 0.000 8.699 Ac
4.400 1.120 0.000 Bi
1.120 2.159 0.000 Bi
2.159 1.120 5.799 Bi
-1.120 2.159 5.799 Bi
0.000 0.000 0.000 O
2.162 1.117 -1.589 O
2.162 -1.117 4.210 O
2.162 1.117 1.589 O
2.162 -1.117 7.388 O
0.000 0.000 5.799 O
1.117 4.396 -1.589 O
1.117 2.162 4.210 O
1.117 4.396 1.589 O
1.117 2.162 7.388 O
```

---

6.
Entry from the Alexandria database: Ac2Pm3Pr3 after structural relaxation (PBE).

Crystal system   orthorhombic
Energy above the lowest structure with this stoichiometry   127 meV/atom

Cell and atoms, written as POSCAR:
```
Ac2Pm3Pr3
1.0
1.917 -8.878 0.000
1.917 8.878 0.000
0.000 0.000 18.185
Ac Pm Pr
4 6 6
Cartesian
1.917 4.466 10.964 Ac
1.917 4.466 16.313 Ac
1.917 -4.466 1.871 Ac
1.917 -4.466 7.221 Ac
1.917 7.127 4.546 Pm
1.917 0.795 2.194 Pm
1.917 0.795 6.898 Pm
1.917 -0.795 11.286 Pm
1.917 -0.795 15.990 Pm
1.917 -7.127 13.638 Pm
1.917 7.226 0.713 Pr
1.917 7.226 8.379 Pr
1.917 6.677 13.638 Pr
1.917 -6.677 4.546 Pr
1.917 -7.226 9.806 Pr
1.917 -7.226 17.471 Pr
```

---

| no. | D(E_F) (states/eV/cell) |
| --- | --- |
| 1 | 7.498 |
| 2 | 1.706 |
| 3 | 15.429 |
| 4 | 6.111 |
| 5 | 11.435 |
| 6 | 22.852 |